# La7TbY3 PBE relaxed
# **Electronic total energy**: -5.21 eV per atom
# **Energy of formation**: 112 meV per atom
# **Polymorph energy (0 for the lowest one)**: 0.000 eV/atom
data_La7TbY3
_chemical_formula_sum 'La14 Tb2 Y6'
_space_group_name_H-M_alt 'P 1 21/m 1'
_space_group_IT_number 11
_space_group_name_Hall '-P 2yb'
_cell_length_a 7.1584
_cell_length_b 11.4502
_cell_length_c 10.3565
_cell_angle_alpha 90.00
_cell_angle_beta 110.15
_cell_angle_gamma 90.00
loop_
_atom_site_label
_atom_site_type_symbol
_atom_site_fract_x
_atom_site_fract_y
_atom_site_fract_z
La1 La 0.0854 0.0164 0.1706
La2 La 0.1561 0.7500 0.3187
La3 La 0.1999 0.2500 0.4055
La4 La 0.3381 0.7500 0.6746
La5 La 0.4068 0.0473 0.8182
Tb1 Tb 0.0000 0.0000 0.5000
Y1 Y 0.2324 0.7500 0.9780
Y2 Y 0.2569 0.2500 0.0244
Y3 Y 0.5000 0.0000 0.5000